YIrW2 | PBE | relaxed

As for the crystal system: monoclinic. The magnetic moment is 0.00 μB/f.u. The value obtained for the total energy is -40.10 eV per formula unit. As for the density of states at the Fermi level: 0.728 states/eV/atom.

Unit cell a=5.482 b=9.543 c=2.855 alpha=90.00 beta=109.04 gamma=90.00
Positions (direct):
Y: 0.000 0.000 0.000
Y: 0.500 0.500 0.000
Ir: 0.000 0.500 0.000
Ir: 0.500 0.000 0.000
W: 0.250 0.250 0.500
W: 0.250 0.750 0.500
W: 0.750 0.250 0.500
W: 0.750 0.750 0.500